1.
Density functional theory data (GGA-PBE) for an optimized crystal structure of NaGaTe2.

As for the energy: -25.7 eV/cell. The calculation puts the uncorrected formation energy at -0.552 eV per atom. The total magnetization comes out at 0.0 μB per formula unit.

Lattice parameters (Å, degrees): 6.704 7.390 8.327 89.18 67.51 89.95
Space group P1 (No. 1)
One atom of each set of equivalent atoms:
Na 0.000 0.000 0.000 [1 per cell]
Na 0.257 0.500 0.490 [1 per cell]
Ga 0.004 0.500 0.998 [1 per cell]
Ga 0.516 0.501 0.974 [1 per cell]
Te 0.180 0.301 0.178 [1 per cell]
Te 0.340 0.702 0.795 [1 per cell]
Te 0.656 0.692 0.180 [1 per cell]
Te 0.861 0.306 0.794 [1 per cell]

---

2.
Density functional theory data (GGA-PBE) for an optimized crystal structure of CuHgB.

As for the energy: -39.7 eV/cell. The relative energy among the computed polymorphs comes out at 77 meV per atom. For the energy of formation from the pure elements, the calculation gives 386.5 meV/atom. The total magnetization comes out at 0.0 μB per formula unit.

Lattice parameters (Å, degrees): 6.395 8.659 3.914 90.00 118.06 90.00
Space group C2/m (No. 12)
One atom of each set of equivalent atoms:
Cu 0.000 0.000 0.000 [2 per cell]
Cu 0.000 0.500 0.000 [2 per cell]
Hg 0.250 0.250 0.500 [4 per cell]
B 0.146 0.000 0.610 [4 per cell]

---

3.
Density functional theory data (GGA-PBE) for an optimized crystal structure of BaMnRe3.

As for the energy: -41.0 eV/cell. The relative energy among the computed polymorphs comes out at 0 meV per atom. For the energy of formation from the pure elements, the calculation gives 1481.8 meV/atom. The total magnetization comes out at 2.1 μB per formula unit.

Lattice parameters (Å, degrees): 4.662 4.662 4.662 90.00 90.00 90.00
Space group Pm-3m (No. 221)
One atom of each set of equivalent atoms:
Ba 0.000 0.000 0.000 [1 per cell]
Mn 0.500 0.500 0.500 [1 per cell]
Re 0.000 0.500 0.500 [3 per cell]

---

4.
Density functional theory data (GGA-PBE) for an optimized crystal structure of ZnIn2Bi2.

As for the energy: -26.9 eV/cell. The relative energy among the computed polymorphs comes out at 69 meV per atom. For the energy of formation from the pure elements, the calculation gives 212.0 meV/atom. The total magnetization comes out at 0.0 μB per formula unit.

Lattice parameters (Å, degrees): 8.354 8.354 4.183 90.00 90.00 90.00
Space group P4/mbm (No. 127)
One atom of each set of equivalent atoms:
Zn 0.000 0.000 0.000 [2 per cell]
In 0.153 0.347 0.000 [4 per cell]
Bi 0.147 0.647 0.500 [4 per cell]

---

5.
Density functional theory data (GGA-PBE) for an optimized crystal structure of Mg2Pt2Rh.

As for the energy: -49.1 eV/cell. The relative energy among the computed polymorphs comes out at 71 meV per atom. For the energy of formation from the pure elements, the calculation gives -387.1 meV/atom. The total magnetization comes out at 0.5 μB per formula unit.

Lattice parameters (Å, degrees): 7.495 7.495 2.860 90.00 90.00 90.00
Space group P4/mbm (No. 127)
One atom of each set of equivalent atoms:
Mg 0.140 0.360 0.000 [4 per cell]
Pt 0.159 0.659 0.500 [4 per cell]
Rh 0.000 0.000 0.000 [2 per cell]

---

6.
Density functional theory data (GGA-PBE) for an optimized crystal structure of Sr2ZnHPb.

As for the energy: -13.4 eV/cell. The total magnetization comes out at 0.0 μB per formula unit.

Lattice parameters (Å, degrees): 5.341 5.341 4.419 90.00 90.00 90.00
Space group P4/mmm (No. 123)
One atom of each set of equivalent atoms:
Sr 0.000 0.500 0.000 [2 per cell]
Zn 0.000 0.000 0.500 [1 per cell]
H 0.000 0.000 0.000 [1 per cell]
Pb 0.500 0.500 0.500 [1 per cell]

---

7.
Density functional theory data (GGA-PBE) for an optimized crystal structure of CaZnGa2Os.

As for the energy: -19.9 eV/cell. The relative energy among the computed polymorphs comes out at 328 meV per atom. For the energy of formation from the pure elements, the calculation gives 139.0 meV/atom. The total magnetization comes out at 0.0 μB per formula unit.

Lattice parameters (Å, degrees): 4.834 4.834 5.473 90.00 90.00 90.00
Space group P4/mmm (No. 123)
One atom of each set of equivalent atoms:
Ca 0.000 0.000 0.000 [1 per cell]
Zn 0.500 0.500 0.000 [1 per cell]
Ga 0.000 0.500 0.500 [2 per cell]
Os 0.000 0.000 0.500 [1 per cell]

---

8.
Density functional theory data (GGA-PBE) for an optimized crystal structure of PuTl2F8.

As for the energy: -61.5 eV/cell. The calculation puts the uncorrected formation energy at -2.496 eV per atom. The total magnetization comes out at 3.7 μB per formula unit.

Lattice parameters (Å, degrees): 4.639 7.461 7.464 60.09 89.97 89.99
Space group P-1 (No. 2)
One atom of each set of equivalent atoms:
Pu 0.000 0.000 0.000 [1 per cell]
Tl 0.280 0.333 0.334 [2 per cell]
F 0.221 0.667 0.666 [2 per cell]
F 0.248 0.135 0.138 [2 per cell]
F 0.248 0.138 0.726 [2 per cell]
F 0.248 0.726 0.135 [2 per cell]

---

9.
Density functional theory data (GGA-PBE) for an optimized crystal structure of CsNaNdCl5.

As for the energy: -131.9 eV/cell. The calculation puts the uncorrected formation energy at -2.101 eV per atom. The total magnetization comes out at 0.0 μB per formula unit.

Lattice parameters (Å, degrees): 9.366 13.145 10.598 90.00 111.84 90.00
Space group C2/c (No. 15)
One atom of each set of equivalent atoms:
Cs 0.000 0.164 0.250 [4 per cell]
Na 0.000 0.187 0.750 [4 per cell]
Nd 0.000 0.500 0.000 [4 per cell]
Cl 0.000 0.436 0.250 [4 per cell]
Cl 0.094 0.306 0.588 [8 per cell]
Cl 0.199 0.056 0.927 [8 per cell]

---

10.
Density functional theory data (GGA-PBE) for an optimized crystal structure of Ti3AuC.

As for the energy: -69.7 eV/cell. The relative energy among the computed polymorphs comes out at 886 meV per atom. For the energy of formation from the pure elements, the calculation gives 264.6 meV/atom. The total magnetization comes out at 0.0 μB per formula unit.

Lattice parameters (Å, degrees): 2.890 6.228 12.814 90.00 90.00 90.00
Space group Amm2 (No. 38)
One atom of each set of equivalent atoms:
Ti 0.000 0.000 0.000 [2 per cell]
Ti 0.500 0.225 0.846 [4 per cell]
Au 0.500 0.000 0.183 [2 per cell]
C 0.000 0.000 0.830 [2 per cell]

---

Number 1: V 381.1 Å³/cell. Number 2: V 191.3 Å³/cell. Number 3: V 101.3 Å³/cell. Number 4: V 291.9 Å³/cell. Number 5: V 160.7 Å³/cell. Number 6: V 126.1 Å³/cell. Number 7: V 127.9 Å³/cell. Number 8: V 224.0 Å³/cell. Number 9: V 1211.1 Å³/cell. Number 10: V 230.6 Å³/cell.